[1]
Entry from Alexandria via LeMat-Bulk: an optimized crystal structure of HoScCdRh (PBE).

Values from the calculation:
- Energy relative to the elements: -0.533 eV per atom

abc: 4.9078 4.9078 4.9078
angles: 60.00 60.00 60.00
Sites, in units of the cell vectors:
1 Ho 0.5000 0.5000 0.5000
2 Rh 0.2500 0.2500 0.2500
3 Cd 0.7500 0.7500 0.7500
4 Sc 0.0000 0.0000 0.0000

[2]
Entry from Alexandria via LeMat-Bulk: an optimized crystal structure of Ho2CdSi2Rh5 (PBE).

Values from the calculation:
- Energy relative to the elements, uncorrected: -0.92 eV/atom

abc: 3.4869 9.8130 9.8130
angles: 90.00 90.00 90.00
Sites, in units of the cell vectors:
1 Ho 0.0000 0.6746 0.1746
2 Rh 0.5000 0.0696 0.7826
3 Rh 0.5000 0.7826 0.9304
4 Rh 0.5000 0.2174 0.0696
5 Rh 0.5000 0.5000 0.0000
6 Cd 0.0000 0.0000 0.0000
7 Si 0.0000 0.8759 0.3759
8 Ho 0.0000 0.1746 0.3254
9 Rh 0.5000 0.0000 0.5000
10 Si 0.0000 0.1241 0.6241
11 Rh 0.5000 0.5696 0.7174
12 Ho 0.0000 0.8254 0.6746
13 Ho 0.0000 0.3254 0.8254
14 Rh 0.5000 0.4304 0.2826
15 Rh 0.5000 0.2826 0.5696
16 Si 0.0000 0.6241 0.8759
17 Si 0.0000 0.3759 0.1241
18 Rh 0.5000 0.7174 0.4304
19 Rh 0.5000 0.9304 0.2174
20 Cd 0.0000 0.5000 0.5000

[3]
Entry from Alexandria via LeMat-Bulk: an optimized crystal structure of SmHoCdRh (PBE).

Values from the calculation:
- Energy relative to the elements: -0.500 eV per atom

abc: 5.0969 5.0969 5.0969
angles: 60.00 60.00 60.00
Sites, in units of the cell vectors:
1 Ho 0.2500 0.2500 0.2500
2 Rh 0.5000 0.5000 0.5000
3 Sm 0.7500 0.7500 0.7500
4 Cd 0.0000 0.0000 0.0000

[4]
Entry from Alexandria via LeMat-Bulk: an optimized crystal structure of SmHo2CdRh4 (PBE).

Values from the calculation:
- Energy relative to the elements: -0.718 eV per atom

abc: 4.7832 4.7832 8.2744
angles: 73.20 73.20 60.00
Sites, in units of the cell vectors:
1 Rh 0.1230 0.1230 0.6311
2 Sm 0.0000 0.0000 0.0000
3 Rh 0.6239 0.6239 0.1284
4 Rh 0.8770 0.8770 0.3689
5 Ho 0.7573 0.7573 0.7282
6 Cd 0.5000 0.5000 0.5000
7 Rh 0.3761 0.3761 0.8716
8 Ho 0.2427 0.2427 0.2718

[5]
Entry from Alexandria via LeMat-Bulk: an optimized crystal structure of TbHoCdRh (PBE).

Values from the calculation:
- Energy relative to the elements: -0.617 eV per atom

abc: 3.5070 3.5070 7.5551
angles: 90.00 90.00 90.00
Sites, in units of the cell vectors:
1 Ho 0.5000 0.5000 0.3542
2 Rh 0.0000 0.0000 0.5675
3 Tb 0.5000 0.5000 0.7884
4 Cd 0.0000 0.0000 0.0746

[6]
Entry from Alexandria via LeMat-Bulk: an optimized crystal structure of TbHoCdRh (PBE).

Values from the calculation:
- Energy relative to the elements: -0.532 eV per atom

abc: 5.0528 5.0528 5.0528
angles: 60.00 60.00 60.00
Sites, in units of the cell vectors:
1 Tb 0.5000 0.5000 0.5000
2 Ho 0.0000 0.0000 0.0000
3 Cd 0.7500 0.7500 0.7500
4 Rh 0.2500 0.2500 0.2500

[7]
Entry from Alexandria via LeMat-Bulk: an optimized crystal structure of Ho5Tl2CdRh2 (PBE).

Values from the calculation:
- Energy relative to the elements: -0.498 eV per atom

abc: 3.6577 11.8037 11.8037
angles: 90.00 90.00 90.00
Sites, in units of the cell vectors:
1 Tl 0.0000 0.1726 0.3274
2 Rh 0.0000 0.6312 0.8688
3 Ho 0.5000 0.2958 0.5793
4 Rh 0.0000 0.3688 0.1312
5 Ho 0.5000 0.0793 0.7958
6 Cd 0.0000 0.5000 0.5000
7 Ho 0.5000 0.7958 0.9207
8 Tl 0.0000 0.8274 0.6726
9 Ho 0.5000 0.0000 0.5000
10 Tl 0.0000 0.3274 0.8274
11 Ho 0.5000 0.7042 0.4207
12 Rh 0.0000 0.8688 0.3688
13 Cd 0.0000 0.0000 0.0000
14 Ho 0.5000 0.4207 0.2958
15 Ho 0.5000 0.5000 0.0000
16 Ho 0.5000 0.9207 0.2042
17 Ho 0.5000 0.5793 0.7042
18 Ho 0.5000 0.2042 0.0793
19 Rh 0.0000 0.1312 0.6312
20 Tl 0.0000 0.6726 0.1726

[8]
Entry from Alexandria via LeMat-Bulk: an optimized crystal structure of HoTmCdRh (PBE).

Values from the calculation:
- Energy relative to the elements: -0.554 eV per atom

abc: 5.0079 5.0079 5.0079
angles: 60.00 60.00 60.00
Sites, in units of the cell vectors:
1 Tm 0.0000 0.0000 0.0000
2 Ho 0.5000 0.5000 0.5000
3 Cd 0.7500 0.7500 0.7500
4 Rh 0.2500 0.2500 0.2500

What calculated volume values result from the calculations? In sequence: 20.90 16.79 23.41 19.32 23.23 22.80 25.48 22.20 A^3/atom.
What E values result from the calculations? In sequence: -5.327 -6.684 -4.890 -6.243 -4.986 -4.901 -4.822 -4.883 eV/atom.